No. 1
Entry from Alexandria via LeMat-Bulk: a PBEsol-optimized structure of Sr3CrRu (meta-GGA SCAN).

Unit cell a=5.581 b=5.581 c=5.581 alpha=90.00 beta=90.00 gamma=90.00
Space group Pm-3m (No. 221)
Asymmetric unit:
Sr: 0.000 0.000 0.500 [3 per cell]
Cr: 0.500 0.500 0.500 [1 per cell]
Ru: 0.000 0.000 0.000 [1 per cell]

The density of states at the Fermi level is 0.714 states/eV per atom. For the formation energy from the elements, the calculation gives 0.580 eV/atom.


No. 2
Entry from Alexandria via LeMat-Bulk: a PBEsol-optimized structure of SrCr2Ru (meta-GGA SCAN).

Unit cell a=3.263 b=3.263 c=6.967 alpha=90.00 beta=90.00 gamma=90.00
Space group P4/mmm (No. 123)
Asymmetric unit:
Sr: 0.000 0.000 0.000 [1 per cell]
Cr: 0.500 0.500 0.358 [2 per cell]
Ru: 0.000 0.000 0.500 [1 per cell]

As for the energy above the lowest structure with this stoichiometry: 0 meV per atom. The density of states at the Fermi level is 1.345 states/eV per atom. For the formation energy from the elements, the calculation gives 0.727 eV/atom.


No. 3
Entry from Alexandria via LeMat-Bulk: a PBEsol-optimized structure of SrCr2Ru (meta-GGA SCAN).

Unit cell a=6.250 b=6.250 c=6.250 alpha=90.00 beta=90.00 gamma=90.00
Space group Fm-3m (No. 225)
Asymmetric unit:
Sr: 0.000 0.000 0.000 [4 per cell]
Cr: 0.250 0.250 0.250 [8 per cell]
Ru: 0.000 0.000 0.500 [4 per cell]

As for the energy above the lowest structure with this stoichiometry: 327 meV per atom. The density of states at the Fermi level is 1.429 states/eV per atom. For the formation energy from the elements, the calculation gives 1.054 eV/atom.